1.
# CaLaSn6

A relaxed structure of CaLaSn6 (PBE, Alexandria).

Values from the calculation:
crystal system	tetragonal
size of the total moment	0.00	μB/f.u.
final energy	-34.79	eV/f.u.

Cell and atoms, written as CIF:
```
data_CaLaSn6
_chemical_formula_sum 'Ca1 La1 Sn6'
_symmetry_space_group_name_H-M 'P 4/m m m'
_symmetry_Int_Tables_number 123
_symmetry_space_group_name_Hall '-P 4 2'
_cell_length_a 4.767
_cell_length_b 4.767
_cell_length_c 9.658
_cell_angle_alpha 90.00
_cell_angle_beta 90.00
_cell_angle_gamma 90.00
loop_
_atom_site_label
_atom_site_fract_x
_atom_site_fract_y
_atom_site_fract_z
Ca1 0.000 0.000 0.000
La1 0.000 0.000 0.500
Sn1 0.000 0.500 0.245
Sn2 0.500 0.500 0.000
Sn3 0.500 0.500 0.500
```

***

2.
# CaLaSn

A relaxed structure of CaLaSn (PBE, Alexandria).

Values from the calculation:
crystal system	tetragonal
size of the total moment	0.00	μB/f.u.
final energy	-12.63	eV/f.u.

Cell and atoms, written as CIF:
```
data_CaLaSn
_chemical_formula_sum 'Ca4 La4 Sn4'
_symmetry_space_group_name_H-M 'I -4 m 2'
_symmetry_Int_Tables_number 119
_symmetry_space_group_name_Hall 'I -4 -2'
_cell_length_a 4.800
_cell_length_b 4.800
_cell_length_c 17.587
_cell_angle_alpha 90.00
_cell_angle_beta 90.00
_cell_angle_gamma 90.00
loop_
_atom_site_label
_atom_site_fract_x
_atom_site_fract_y
_atom_site_fract_z
Ca1 0.000 0.000 0.181
La1 0.000 0.500 0.506
Sn1 0.000 0.000 0.366
```

***

3.
# CaLaSn

A relaxed structure of CaLaSn (PBE, Alexandria).

Values from the calculation:
crystal system	orthorhombic
size of the total moment	0.23	μB/f.u.
final energy	-12.47	eV/f.u.

Cell and atoms, written as CIF:
```
data_CaLaSn
_chemical_formula_sum 'Ca4 La4 Sn4'
_symmetry_space_group_name_H-M 'I m m m'
_symmetry_Int_Tables_number 71
_symmetry_space_group_name_Hall '-I 2 2'
_cell_length_a 5.011
_cell_length_b 6.913
_cell_length_c 11.798
_cell_angle_alpha 90.00
_cell_angle_beta 90.00
_cell_angle_gamma 90.00
loop_
_atom_site_label
_atom_site_fract_x
_atom_site_fract_y
_atom_site_fract_z
Ca1 0.000 0.237 0.000
La1 0.000 0.000 0.307
Sn1 0.000 0.500 0.360
```

***

4.
# CaLaSn

A relaxed structure of CaLaSn (PBE, Alexandria).

Values from the calculation:
crystal system	monoclinic
size of the total moment	0.00	μB/f.u.
final energy	-12.55	eV/f.u.

Cell and atoms, written as CIF:
```
data_CaLaSn
_chemical_formula_sum 'Ca4 La4 Sn4'
_symmetry_space_group_name_H-M 'C 1 m 1'
_symmetry_Int_Tables_number 8
_symmetry_space_group_name_Hall 'C -2y'
_cell_length_a 16.237
_cell_length_b 5.284
_cell_length_c 4.487
_cell_angle_alpha 90.00
_cell_angle_beta 90.05
_cell_angle_gamma 90.00
loop_
_atom_site_label
_atom_site_fract_x
_atom_site_fract_y
_atom_site_fract_z
Ca1 0.000 0.000 0.000
Ca2 0.182 0.000 0.502
La1 0.013 0.500 0.500
La2 0.318 0.500 0.499
Sn1 0.157 0.500 0.000
Sn2 0.357 0.000 0.999
```

***

5.
# CaLaSn

A relaxed structure of CaLaSn (PBE, Alexandria).

Values from the calculation:
crystal system	orthorhombic
size of the total moment	0.95	μB/f.u.
final energy	-12.59	eV/f.u.

Cell and atoms, written as CIF:
```
data_CaLaSn
_chemical_formula_sum 'Ca2 La2 Sn2'
_symmetry_space_group_name_H-M 'P m m 2'
_symmetry_Int_Tables_number 25
_symmetry_space_group_name_Hall 'P 2 -2'
_cell_length_a 4.836
_cell_length_b 4.859
_cell_length_c 8.630
_cell_angle_alpha 90.00
_cell_angle_beta 90.00
_cell_angle_gamma 90.00
loop_
_atom_site_label
_atom_site_fract_x
_atom_site_fract_y
_atom_site_fract_z
Ca1 0.000 0.000 0.000
Ca2 0.500 0.000 0.355
La1 0.000 0.500 0.637
La2 0.500 0.500 0.002
Sn1 0.000 0.500 0.262
Sn2 0.500 0.000 0.732
```

***

6.
# CaLa5Sn3

A relaxed structure of CaLa5Sn3 (PBE, Alexandria).

Values from the calculation:
crystal system	hexagonal
size of the total moment	2.46	μB/f.u.
final energy	-44.25	eV/f.u.

Cell and atoms, written as CIF:
```
data_CaLa5Sn3
_chemical_formula_sum 'Ca2 La10 Sn6'
_symmetry_space_group_name_H-M 'P 63/m c m'
_symmetry_Int_Tables_number 193
_symmetry_space_group_name_Hall '-P 6c 2'
_cell_length_a 9.8078
_cell_length_b 9.8078
_cell_length_c 6.9188
_cell_angle_alpha 90.00
_cell_angle_beta 90.00
_cell_angle_gamma 120.00
loop_
_atom_site_label
_atom_site_fract_x
_atom_site_fract_y
_atom_site_fract_z
Ca1 0.0000 0.0000 0.0000
La1 0.0000 0.3314 0.2500
La2 0.3333 0.6667 0.0000
Sn1 0.0000 0.3352 0.7500
```

***

- Among the records above, which one has the highest size of the total moment?
  CaLa5Sn3

***

Please write out number 4 again, unchanged.
# CaLaSn

A relaxed structure of CaLaSn (PBE, Alexandria).

Values from the calculation:
crystal system	monoclinic
size of the total moment	0.00	μB/f.u.
final energy	-12.55	eV/f.u.

Cell and atoms, written as CIF:
```
data_CaLaSn
_chemical_formula_sum 'Ca4 La4 Sn4'
_symmetry_space_group_name_H-M 'C 1 m 1'
_symmetry_Int_Tables_number 8
_symmetry_space_group_name_Hall 'C -2y'
_cell_length_a 16.237
_cell_length_b 5.284
_cell_length_c 4.487
_cell_angle_alpha 90.00
_cell_angle_beta 90.05
_cell_angle_gamma 90.00
loop_
_atom_site_label
_atom_site_fract_x
_atom_site_fract_y
_atom_site_fract_z
Ca1 0.000 0.000 0.000
Ca2 0.182 0.000 0.502
La1 0.013 0.500 0.500
La2 0.318 0.500 0.499
Sn1 0.157 0.500 0.000
Sn2 0.357 0.000 0.999
```

***

Repeat the fourth record exactly.
# CaLaSn

A relaxed structure of CaLaSn (PBE, Alexandria).

Values from the calculation:
crystal system	monoclinic
size of the total moment	0.00	μB/f.u.
final energy	-12.55	eV/f.u.

Cell and atoms, written as CIF:
```
data_CaLaSn
_chemical_formula_sum 'Ca4 La4 Sn4'
_symmetry_space_group_name_H-M 'C 1 m 1'
_symmetry_Int_Tables_number 8
_symmetry_space_group_name_Hall 'C -2y'
_cell_length_a 16.237
_cell_length_b 5.284
_cell_length_c 4.487
_cell_angle_alpha 90.00
_cell_angle_beta 90.05
_cell_angle_gamma 90.00
loop_
_atom_site_label
_atom_site_fract_x
_atom_site_fract_y
_atom_site_fract_z
Ca1 0.000 0.000 0.000
Ca2 0.182 0.000 0.502
La1 0.013 0.500 0.500
La2 0.318 0.500 0.499
Sn1 0.157 0.500 0.000
Sn2 0.357 0.000 0.999
```

***

- Among the records above, which one has the highest final energy?
  number 3